Entry from the Alexandria database: a relaxed structure of TiPd2Cl (PBE).

Cell lengths 4.5531, 4.5531, 4.5531 Å; angles 60.00, 60.00, 60.00 degrees
Last column: nearest neighbours and their distance in Å.
Fractional positions:
Cl (0.0000, 0.0000, 0.0000)  8 Pd 2.79
Pd (0.2500, 0.2500, 0.2500)  4 Cl 2.79, 4 Ti 2.79
Pd (0.7500, 0.7500, 0.7500)  4 Cl 2.79, 4 Ti 2.79
Ti (0.5000, 0.5000, 0.5000)  8 Pd 2.79

Output
M_tot in μB/cell: 1.1
Electronic total energy in eV/atom: -4.991
E_form (uncorrected) in meV per atom: 41
Calculated volume in Å³/f.u.: 66.7



Entry from the Alexandria database: a relaxed structure of PmBeAu3 (PBE).

Cell lengths 5.2571, 6.4756, 6.4755 Å; angles 120.00, 90.00, 90.00 degrees
Last column: nearest neighbours and their distance in Å.
Fractional positions:
Pm (0.7499, 0.6667, 0.3334)  12 Au 3.13-3.24
Pm (0.2501, 0.3333, 0.6666)  12 Au 3.13-3.24
Be (0.0000, 0.0000, 0.0000)  6 Au 2.42, 2 Be 2.63
Be (0.5000, 0.0000, 0.0000)  6 Au 2.42, 2 Be 2.63
Au (0.7500, 0.6374, 0.8187)  2 Be 2.42
Au (0.2500, 0.8187, 0.6374)  2 Be 2.42
Au (0.2500, 0.3626, 0.1813)  2 Be 2.42
Au (0.7500, 0.1813, 0.3626)  2 Be 2.42
Au (0.2499, 0.8186, 0.1812)  2 Be 2.42
Au (0.7501, 0.1814, 0.8188)  2 Be 2.42

Output
M_tot in μB/cell: 0.0
Electronic total energy in eV/atom: -4.211
ΔE_f in eV/atom: -0.549
Calculated volume in Å³/f.u.: 95.5



Entry from the Alexandria database: a relaxed structure of TiV2C (PBE).

Cell lengths 2.8949, 2.8949, 7.1192 Å; angles 78.27, 78.27, 60.00 degrees
Last column: nearest neighbours and their distance in Å.
Fractional positions:
C (0.0000, 0.0000, 0.0000)  6 V 2.03
Ti (0.5000, 0.5000, 0.5000)  6 V 2.85, 6 Ti 2.89
V (0.2778, 0.2778, 0.1666)  3 C 2.03
V (0.7222, 0.7222, 0.8334)  3 C 2.03

Output
M_tot in μB/cell: 0.0
Electronic total energy in eV/atom: -9.130
ΔE_f in eV/atom: -0.291
Calculated volume in Å³/f.u.: 50.2



Entry from the Alexandria database: a relaxed structure of LiHoAl2Ag4 (PBE).

Cell lengths 4.5561, 4.5561, 8.5243 Å; angles 74.50, 74.50, 60.00 degrees
Last column: nearest neighbours and their distance in Å.
Fractional positions:
Li (0.5000, 0.5000, 0.5000)  8 Ag 2.57-2.77
Ho (0.0000, 0.0000, 0.0000)  8 Ag 3.02-3.18, 6 Al 3.37
Al (0.7533, 0.7533, 0.7402)  7 Ag 2.70-2.84
Al (0.2467, 0.2467, 0.2598)  7 Ag 2.70-2.84
Ag (0.3945, 0.3945, 0.8165)  1 Li 2.57, 3 Al 2.70
Ag (0.8694, 0.8694, 0.3919)  3 Li 2.77, 4 Al 2.82-2.84
Ag (0.1306, 0.1306, 0.6081)  3 Li 2.77, 4 Al 2.82-2.84
Ag (0.6055, 0.6055, 0.1835)  1 Li 2.57, 3 Al 2.70

Output
M_tot in μB/cell: 0.0
Electronic total energy in eV/atom: -3.430
ΔE_f in eV/atom: -0.257
Calculated volume in Å³/f.u.: 145.8



Entry from the Alexandria database: a relaxed structure of BaTiSi2 (PBE).

Cell lengths 5.0183, 5.0183, 5.0183 Å; angles 60.00, 60.00, 60.00 degrees
Last column: nearest neighbours and their distance in Å.
Fractional positions:
Si (0.2500, 0.2500, 0.2500)  4 Ba 3.07, 4 Ti 3.07
Si (0.7500, 0.7500, 0.7500)  4 Ba 3.07, 4 Ti 3.07
Ba (0.5000, 0.5000, 0.5000)  8 Si 3.07
Ti (0.0000, 0.0000, 0.0000)  8 Si 3.07

Output
M_tot in μB/cell: 0.0
Electronic total energy in eV/atom: -4.836
E_form (uncorrected) in meV per atom: 330
Calculated volume in Å³/f.u.: 89.4



Entry from the Alexandria database: a relaxed structure of Cr2TePbCl (PBE).

Cell lengths 4.8051, 6.0353, 4.8051 Å; angles 90.00, 90.00, 90.00 degrees
Last column: nearest neighbours and their distance in Å.
Fractional positions:
Pb (0.0000, 0.5000, 0.0000)  2 Cl 3.02
Cr (0.0000, 0.0000, 0.5000)  2 Cl 2.40
Cr (0.5000, 0.0000, 0.0000)  2 Cl 2.40
Te (0.5000, 0.5000, 0.5000)  4 Pb 3.40
Cl (0.0000, 0.0000, 0.0000)  4 Cr 2.40

Output
M_tot in μB/cell: 9.4
Electronic total energy in eV/atom: -5.035
E_form (uncorrected) in meV per atom: 553
Calculated volume in Å³/f.u.: 139.3



Q: Which of these has the highest M_tot?
A: Cr2TePbCl